VASP calculation (PBE) on a relaxed structure of PmHfGe.

The structure in POSCAR format:
```
PmHfGe
1.0
4.0021 0.0000 0.0000
0.0000 4.6392 0.0000
0.0000 -2.3196 4.0176
Ge Hf Pm
1 1 1
Direct
0.1190 0.0000 0.0000
0.1940 0.3333 0.6667
0.6871 0.6667 0.3333
```

Values from the calculation:
The calculation puts the calculated volume at 75 Å³ per cell. For the offset from the most stable computed form, the calculation gives 9.541 kcal/mol of atoms. The mass density comes out at 8818 kg/m3.

VASP calculation (PBE) on a relaxed structure of Pm2HfGe3.

The structure in POSCAR format:
```
Pm2HfGe3
1.0
5.8013 0.0000 0.0000
0.0000 8.2970 0.0030
-2.9007 -2.0749 6.1138
Hf Ge Pm
2 6 4
Direct
0.9996 0.7500 0.0000
0.0004 0.2500 0.0000
0.1477 0.0737 0.2948
0.5004 0.2500 0.0000
0.1471 0.5737 0.2948
0.8523 0.9263 0.7052
0.4996 0.7500 0.0000
0.8529 0.4263 0.7052
0.6722 0.5862 0.3449
0.3278 0.4138 0.6551
0.3273 0.9138 0.6551
0.6727 0.0862 0.3449
```

Values from the calculation:
The calculation puts the calculated volume at 294 Å³ per cell. The mass density comes out at 7746 kg/m3. For the electronic total energy, the calculation gives -74.173 eV/cell.

VASP calculation (PBE) on a relaxed structure of Pm4HfGe5.

The structure in POSCAR format:
```
Pm4HfGe5
1.0
5.8957 0.0000 0.0000
2.9479 6.5886 0.0000
2.9479 0.0000 6.5886
Ge Pm Hf
5 4 1
Direct
0.2823 0.8128 0.6246
0.7198 0.1872 0.3754
0.0952 0.6246 0.1872
0.5009 0.0000 0.0000
0.9069 0.3754 0.8128
0.2001 0.2073 0.3947
0.5947 0.6053 0.2073
0.4074 0.3947 0.7927
0.8021 0.7927 0.6053
0.0010 0.0000 0.0000
```

Values from the calculation:
The calculation puts the calculated volume at 256 Å³ per cell. The mass density comes out at 7278 kg/m3. For the electronic total energy, the calculation gives -58.472 eV/cell.

VASP calculation (PBE) on a relaxed structure of Pm3Hf2Ge3.

The structure in POSCAR format:
```
Pm3Hf2Ge3
1.0
-2.3060 -2.2528 -5.0251
7.8670 -0.8493 -3.2294
-3.4972 -6.3900 4.4696
Pm Ge Hf
6 6 4
Direct
0.7500 0.7502 0.7502
0.2500 0.7502 0.0000
0.2500 0.2498 0.2498
0.7500 0.2498 0.0000
0.2500 0.0000 0.7502
0.7500 0.0000 0.2498
0.7500 0.3995 0.3995
0.2500 0.0000 0.3995
0.7500 0.6005 0.0000
0.7500 0.0000 0.6005
0.2500 0.6005 0.6005
0.2500 0.3995 0.0000
0.5000 0.3333 0.6667
0.0000 0.3333 0.6667
0.0000 0.6667 0.3333
0.5000 0.6667 0.3333
```

Values from the calculation:
The calculation puts the calculated volume at 378 Å³ per cell. The mass density comes out at 8881 kg/m3. For the electronic total energy, the calculation gives -106.111 eV/cell.

VASP calculation (PBE) on a relaxed structure of PmHfGe.

The structure in POSCAR format:
```
PmHfGe
1.0
4.8085 0.0000 0.0000
0.0000 5.5895 0.0000
-2.4043 0.0000 5.3068
Hf Ge Pm
2 2 2
Direct
0.4077 0.5137 0.8154
0.5923 0.0137 0.1846
0.2260 0.0135 0.4519
0.7740 0.5135 0.5481
0.1054 0.5138 0.2108
0.8946 0.0138 0.7892
```

Values from the calculation:
The calculation puts the calculated volume at 143 Å³ per cell. For the offset from the most stable computed form, the calculation gives 8.410 kcal/mol of atoms. The mass density comes out at 9224 kg/m3.

VASP calculation (PBE) on a relaxed structure of PmHfGe2.

The structure in POSCAR format:
```
PmHfGe2
1.0
-3.0715 1.8962 -0.7195
-2.0219 -2.9655 0.8158
-0.2729 1.8423 6.0203
Ge Hf Pm
2 1 1
Direct
0.0000 0.0000 0.7067
0.0000 0.0000 0.2933
0.5000 0.5000 0.5000
0.5000 0.5000 0.0000
```

Values from the calculation:
The calculation puts the calculated volume at 85 Å³ per cell. The mass density comes out at 9118 kg/m3. For the electronic total energy, the calculation gives -26.069 eV/cell.

VASP calculation (PBE) on a relaxed structure of PmHfGe.

The structure in POSCAR format:
```
PmHfGe
1.0
4.0784 0.0000 -1.0635
-0.2773 4.0690 -1.0635
0.0710 0.0760 8.6238
Ge Pm Hf
2 2 2
Direct
0.8770 0.8770 0.7540
0.1230 0.1230 0.2460
0.6770 0.6770 0.3540
0.3230 0.3230 0.6460
0.5000 0.0000 0.0000
0.0000 0.5000 0.0000
```

Values from the calculation:
The calculation puts the calculated volume at 144 Å³ per cell. For the offset from the most stable computed form, the calculation gives 0.000 kcal/mol of atoms. The mass density comes out at 9150 kg/m3.

VASP calculation (PBE) on a relaxed structure of PmHfGe2.

The structure in POSCAR format:
```
PmHfGe2
1.0
-4.0131 0.3750 -0.0521
-0.3594 -4.1231 -1.9899
-0.2383 -1.9765 4.1384
Ge Pm Hf
2 1 1
Direct
0.0000 0.0000 0.5000
0.0000 0.5000 0.0000
0.5000 0.0000 0.0000
0.5000 0.5000 0.5000
```

Values from the calculation:
The calculation puts the calculated volume at 85 Å³ per cell. The mass density comes out at 9157 kg/m3. For the electronic total energy, the calculation gives -25.525 eV/cell.

VASP calculation (PBE) on a relaxed structure of Pm5HfGe4.

The structure in POSCAR format:
```
Pm5HfGe4
1.0
-3.8365 -0.8208 -1.3952
1.4716 -7.7658 0.5220
-1.5344 2.9308 8.7088
Ge Pm Hf
4 5 1
Direct
0.9993 0.7662 0.9986
0.0007 0.2338 0.0014
0.3361 0.8988 0.6722
0.6639 0.1012 0.3278
0.8334 0.6437 0.6667
0.5000 0.5000 0.0000
0.8328 0.1580 0.6657
0.1666 0.3563 0.3333
0.1672 0.8420 0.3343
0.5000 0.0000 0.0000
```

Values from the calculation:
The calculation puts the calculated volume at 287 Å³ per cell. The mass density comes out at 6906 kg/m3. For the electronic total energy, the calculation gives -57.360 eV/cell.

VASP calculation (PBE) on a relaxed structure of PmHfGe2.

The structure in POSCAR format:
```
PmHfGe2
1.0
-5.3618 -1.6218 -4.3137
-2.2905 -2.6404 2.0015
-3.3540 1.2013 1.8791
Hf Pm Ge
1 1 2
Direct
0.7500 0.7500 0.7500
0.2500 0.2500 0.2500
0.9713 0.0095 0.0095
0.5287 0.4905 0.4905
```

Values from the calculation:
The calculation puts the calculated volume at 93 Å³ per cell. The mass density comes out at 8328 kg/m3. For the electronic total energy, the calculation gives -26.548 eV/cell.

VASP calculation (PBE) on a relaxed structure of Pm2HfGe3Pt4.

The structure in POSCAR format:
```
Pm2HfGe3Pt4
1.0
4.2343 0.0000 0.0000
0.0000 4.2343 0.0000
0.0000 0.0000 11.0964
Ge Pt Pm Hf
3 4 2 1
Direct
0.0000 0.0000 0.5000
0.0000 0.5000 0.1324
0.5000 0.0000 0.8676
0.5000 0.5000 0.0000
0.0000 0.0000 0.0000
0.5000 0.0000 0.6446
0.0000 0.5000 0.3554
0.5000 0.0000 0.2274
0.0000 0.5000 0.7726
0.5000 0.5000 0.5000
```

Values from the calculation:
The calculation puts the calculated volume at 199 Å³ per cell. The mass density comes out at 12242 kg/m3. For the electronic total energy, the calculation gives -67.053 eV/cell.

VASP calculation (PBE) on a relaxed structure of PmHfGe2Rh5.

The structure in POSCAR format:
```
PmHfGe2Rh5
1.0
-1.1948 3.6662 -1.1221
-2.9800 -1.6275 -2.1443
-6.6881 0.5398 8.8851
Rh Hf Ge Pm
5 1 2 1
Direct
0.5000 0.5000 0.5000
0.0000 0.5000 0.1601
0.5000 0.0000 0.1601
0.0000 0.5000 0.8399
0.5000 0.0000 0.8399
0.0000 0.0000 0.0000
0.5000 0.5000 0.2846
0.5000 0.5000 0.7154
0.0000 0.0000 0.5000
```

Values from the calculation:
The calculation puts the calculated volume at 180 Å³ per cell. The mass density comes out at 9093 kg/m3. For the electronic total energy, the calculation gives -65.058 eV/cell.